(1)
Here is a geometry-optimized Sr3In5S12 structure from Alexandria via LeMat-Bulk. Energies are from PBE-GGA.

Properties
Formation energy without anion corrections = -0.841 eV per atom
Space group = Ia-3d, No. 230

Cell: 13.990 13.990 13.990 Å, 109.47 109.47 109.47°
Element x y z (fractional)
In 0.375 0.125 0.750
In 0.875 0.250 0.625
In 0.125 0.375 0.250
In 0.500 0.000 0.500
In 0.000 0.500 0.500
In 0.000 0.000 0.000
In 0.500 0.500 0.000
In 0.625 0.875 0.250
In 0.000 0.500 0.000
In 0.500 0.500 0.500
In 0.500 0.000 0.000
In 0.125 0.750 0.375
In 0.625 0.750 0.875
In 0.875 0.625 0.750
In 0.250 0.875 0.125
In 0.750 0.125 0.875
In 0.750 0.625 0.375
In 0.250 0.375 0.625
In 0.000 0.000 0.500
In 0.375 0.250 0.125
S 0.210 0.676 0.088
S 0.324 0.790 0.412
S 0.710 0.588 0.176
S 0.122 0.710 0.535
S 0.912 0.088 0.878
S 0.465 0.790 0.878
S 0.290 0.878 0.965
S 0.965 0.588 0.176
S 0.535 0.324 0.912
S 0.035 0.622 0.710
S 0.412 0.378 0.588
S 0.378 0.412 0.088
S 0.824 0.912 0.035
S 0.412 0.290 0.324
S 0.210 0.535 0.622
S 0.176 0.088 0.710
S 0.824 0.912 0.290
S 0.622 0.588 0.912
S 0.535 0.210 0.122
S 0.176 0.088 0.965
S 0.412 0.122 0.588
S 0.676 0.210 0.588
S 0.710 0.122 0.035
S 0.622 0.035 0.210
S 0.878 0.290 0.465
S 0.465 0.676 0.088
S 0.912 0.088 0.622
S 0.912 0.824 0.790
S 0.912 0.824 0.535
S 0.588 0.710 0.676
S 0.088 0.912 0.122
S 0.378 0.965 0.790
S 0.965 0.378 0.290
S 0.088 0.912 0.378
S 0.588 0.878 0.412
S 0.088 0.176 0.465
S 0.122 0.412 0.088
S 0.790 0.465 0.378
S 0.588 0.965 0.676
S 0.878 0.588 0.912
S 0.790 0.324 0.912
S 0.412 0.035 0.324
S 0.324 0.535 0.412
S 0.035 0.412 0.824
S 0.676 0.465 0.588
S 0.588 0.622 0.412
S 0.088 0.176 0.210
S 0.290 0.412 0.824
Sr 0.250 0.625 0.875
Sr 0.375 0.750 0.625
Sr 0.750 0.375 0.125
Sr 0.750 0.875 0.625
Sr 0.875 0.750 0.125
Sr 0.625 0.250 0.375
Sr 0.250 0.125 0.375
Sr 0.125 0.250 0.875
Sr 0.875 0.125 0.250
Sr 0.625 0.375 0.750
Sr 0.125 0.875 0.750
Sr 0.375 0.625 0.250

---

(2)
Here is a geometry-optimized SrIn2S4 structure from Alexandria via LeMat-Bulk. Energies are from PBE-GGA.

Properties
Formation energy without anion corrections = -0.986 eV per atom
Space group = Cmcm, No. 63

Cell: 3.976 6.792 12.624 Å, 90.00 90.00 107.02°
Element x y z (fractional)
S 0.226 0.451 0.887
S 0.058 0.116 0.250
S 0.500 0.000 0.000
S 0.774 0.549 0.387
S 0.774 0.549 0.113
S 0.500 0.000 0.500
S 0.942 0.884 0.750
S 0.226 0.451 0.613
Sr 0.605 0.211 0.750
Sr 0.395 0.789 0.250
In 0.861 0.723 0.567
In 0.139 0.277 0.067
In 0.861 0.723 0.933
In 0.139 0.277 0.433

---

(3)
Here is a geometry-optimized Sr2In2S structure from Alexandria via LeMat-Bulk. Energies are from PBE-GGA.

Properties
Formation energy without anion corrections = -0.746 eV per atom
Distance to the lowest polymorph of the same formula = 0 meV/atom
Space group = I4/mmm, No. 139

Cell: 4.081 4.081 9.676 Å, 77.83 77.83 90.00°
Element x y z (fractional)
In 0.250 0.750 0.500
In 0.750 0.250 0.500
S 0.000 0.000 0.000
Sr 0.593 0.593 0.815
Sr 0.407 0.407 0.185

---

(4)
Here is a geometry-optimized Sr2In2S structure from Alexandria via LeMat-Bulk. Energies are from PBE-GGA.

Properties
Formation energy without anion corrections = -0.647 eV per atom
Distance to the lowest polymorph of the same formula = 99 meV/atom
Space group = P4/mbm, No. 127

Cell: 7.896 7.896 5.695 Å, 90.00 90.00 90.00°
Element x y z (fractional)
S 0.000 0.000 0.000
S 0.500 0.500 0.000
In 0.872 0.372 0.500
In 0.628 0.872 0.500
In 0.372 0.128 0.500
In 0.128 0.628 0.500
Sr 0.685 0.185 0.000
Sr 0.315 0.815 0.000
Sr 0.185 0.315 0.000
Sr 0.815 0.685 0.000

---

(5)
Here is a geometry-optimized SrInS2 structure from Alexandria via LeMat-Bulk. Energies are from PBE-GGA.

Properties
Formation energy without anion corrections = -1.080 eV per atom
Space group = R3m, No. 160

Cell: 4.104 4.104 7.452 Å, 74.02 74.02 60.00°
Element x y z (fractional)
In 0.668 0.668 0.997
Sr 0.500 0.500 0.499
S 0.078 0.078 0.766
S 0.254 0.254 0.238

---

(6)
Here is a geometry-optimized SrIn2S4 structure from Alexandria via LeMat-Bulk. Energies are from PBE-GGA.

Properties
Formation energy without anion corrections = -1.039 eV per atom
Space group = Cccm, No. 66

Cell: 6.239 6.239 10.715 Å, 90.00 90.00 116.08°
Element x y z (fractional)
Sr 0.500 0.500 0.750
Sr 0.500 0.500 0.250
S 0.000 0.500 0.176
S 0.000 0.500 0.824
S 0.640 0.791 0.000
S 0.209 0.360 0.500
S 0.500 0.000 0.324
S 0.500 0.000 0.676
S 0.791 0.640 0.500
S 0.360 0.209 0.000
In 0.220 0.774 0.000
In 0.226 0.780 0.500
In 0.780 0.226 0.000
In 0.774 0.220 0.500